Er2Al4NiPt3, optimized geometry, DFT PBE; SG = P-4m2, No. 115; DFT formation energy = -1.002 eV per atom; total moment = 0.000 μB per atom; energy = -0.2132 hartree per atom
1.0
4.056 0.000 0.000
0.000 4.056 0.000
0.000 0.000 10.882
Er Al Ni Pt
2 4 1 3
Direct
0.000 0.500 0.248
0.500 0.000 0.752
0.000 0.000 0.500
0.000 0.500 0.873
0.500 0.000 0.127
0.500 0.500 0.500
0.500 0.500 0.000
0.000 0.000 0.000
0.000 0.500 0.643
0.500 0.000 0.357


Pm3Sm2Dy2, optimized geometry, DFT PBE; SG = P-1, No. 2; DFT formation energy = 0.015 eV per atom; total moment = 0.000 μB per atom; energy = -0.1721 hartree per atom
1.0
3.618 0.000 0.000
1.796 7.854 0.000
0.010 3.299 8.212
Pm Sm Dy
3 2 2
Direct
0.000 0.000 0.000
0.142 0.717 0.428
0.858 0.283 0.572
0.285 0.430 0.856
0.715 0.570 0.144
0.429 0.143 0.286
0.571 0.857 0.714


Tb2PmDy2, optimized geometry, DFT PBE; SG = P4/mbm, No. 127; DFT formation energy = 0.089 eV per atom; total moment = 0.000 μB per atom; energy = -0.1674 hartree per atom
1.0
9.420 0.000 0.000
0.000 9.420 0.000
0.000 0.000 3.705
Tb Pm Dy
4 2 4
Direct
0.172 0.328 0.000
0.328 0.828 0.000
0.672 0.172 0.000
0.828 0.672 0.000
0.000 0.000 0.500
0.500 0.500 0.500
0.125 0.625 0.500
0.375 0.125 0.500
0.625 0.875 0.500
0.875 0.375 0.500


La2Ga2Au, optimized geometry, DFT PBE; SG = P4/mbm, No. 127; DFT formation energy = -0.639 eV per atom; total moment = 0.000 μB per atom; energy = -0.1645 hartree per atom
1.0
7.178 0.000 0.000
0.000 7.178 0.000
0.000 0.000 4.829
La Ga Au
4 4 2
Direct
0.171 0.329 0.000
0.329 0.829 0.000
0.671 0.171 0.000
0.829 0.671 0.000
0.132 0.632 0.500
0.368 0.132 0.500
0.632 0.868 0.500
0.868 0.368 0.500
0.000 0.000 0.500
0.500 0.500 0.500


ScTc2P, optimized geometry, DFT PBE; SG = P4/mmm, No. 123; DFT formation energy = -0.301 eV per atom; total moment = 0.000 μB per atom; energy = -0.3094 hartree per atom
1.0
3.081 0.000 0.000
0.000 3.081 0.000
0.000 0.000 6.310
Sc Tc P
1 2 1
Direct
0.000 0.000 0.000
0.500 0.500 0.289
0.500 0.500 0.711
0.000 0.000 0.500


SmMgCd, optimized geometry, DFT PBE; SG = F-43m, No. 216; DFT formation energy = -0.029 eV per atom; total moment = 0.181 μB per atom; energy = -0.0896 hartree per atom
1.0
7.082 0.000 0.000
0.000 7.082 0.000
0.000 0.000 7.082
Sm Mg Cd
4 4 4
Direct
0.000 0.000 0.000
0.000 0.500 0.500
0.500 0.000 0.500
0.500 0.500 0.000
0.000 0.000 0.500
0.000 0.500 0.000
0.500 0.000 0.000
0.500 0.500 0.500
0.250 0.250 0.250
0.250 0.750 0.750
0.750 0.250 0.750
0.750 0.750 0.250


Ba2CuReBi, optimized geometry, DFT PBE; SG = P4/mmm, No. 123; DFT formation energy = 0.988 eV per atom; total moment = 0.398 μB per atom; energy = -0.1421 hartree per atom
1.0
6.695 0.000 0.000
0.000 6.695 0.000
0.000 0.000 5.126
Ba Cu Re Bi
2 1 1 1
Direct
0.000 0.500 0.000
0.500 0.000 0.000
0.000 0.000 0.500
0.500 0.500 0.500
0.500 0.500 0.000


HgGeF2, optimized geometry, DFT PBE; SG = I-42d, No. 122; total moment = 0.000 μB per atom; energy = -0.1304 hartree per atom; formation energy from raw total energies = -1.3827 eV per atom
1.0
6.449 0.000 0.000
0.000 6.449 0.000
0.000 0.000 10.820
Hg Ge F
4 4 8
Direct
0.000 0.000 0.000
0.000 0.500 0.250
0.500 0.000 0.750
0.500 0.500 0.500
0.000 0.000 0.500
0.000 0.500 0.750
0.500 0.000 0.250
0.500 0.500 0.000
0.009 0.250 0.625
0.250 0.509 0.875
0.250 0.991 0.375
0.491 0.250 0.125
0.509 0.750 0.125
0.750 0.009 0.375
0.750 0.491 0.875
0.991 0.750 0.625


NaAc2Zn, optimized geometry, DFT PBE; SG = P4/mmm, No. 123; DFT formation energy = -0.048 eV per atom; total moment = 0.000 μB per atom; energy = -0.1011 hartree per atom
1.0
3.948 0.000 0.000
0.000 3.948 0.000
0.000 0.000 9.141
Na Ac Zn
1 2 1
Direct
0.000 0.000 0.000
0.500 0.500 0.297
0.500 0.500 0.703
0.000 0.000 0.500


La2YAs, optimized geometry, DFT PBE; SG = P4/mmm, No. 123; DFT formation energy = -0.509 eV per atom; total moment = 0.000 μB per atom; energy = -0.2114 hartree per atom
1.0
4.727 0.000 0.000
0.000 4.727 0.000
0.000 0.000 4.896
La Y As
2 1 1
Direct
0.000 0.500 0.000
0.500 0.000 0.000
0.000 0.000 0.500
0.500 0.500 0.500


LiOsRh, optimized geometry, DFT PBE; SG = Cmcm, No. 63; DFT formation energy = 0.079 eV per atom; total moment = 0.000 μB per atom; energy = -0.2482 hartree per atom
1.0
4.248 0.000 0.000
0.000 8.785 0.000
0.000 0.000 4.321
Li Os Rh
4 4 4
Direct
0.000 0.091 0.250
0.000 0.909 0.750
0.500 0.409 0.750
0.500 0.591 0.250
0.000 0.433 0.250
0.000 0.567 0.750
0.500 0.067 0.750
0.500 0.933 0.250
0.000 0.240 0.750
0.000 0.760 0.250
0.500 0.260 0.250
0.500 0.740 0.750


ZrRuSe, optimized geometry, DFT PBE; SG = P3m1, No. 156; total moment = 0.000 μB per atom; energy = -0.2842 hartree per atom; formation energy from raw total energies = -0.6302 eV per atom
1.0
4.269 0.000 0.000
-2.134 3.697 0.000
0.000 0.000 3.300
Zr Ru Se
1 1 1
Direct
0.000 0.000 0.000
0.667 0.333 0.476
0.333 0.667 0.511


AgMoOsBr2, optimized geometry, DFT PBE; SG = P4/mmm, No. 123; total moment = 1.680 μB per atom; energy = -0.1300 hartree per atom; formation energy from raw total energies = 2.1136 eV per atom
1.0
5.094 0.000 0.000
0.000 5.094 0.000
0.000 0.000 5.638
Ag Mo Os Br
1 1 1 2
Direct
0.000 0.000 0.000
0.000 0.000 0.500
0.500 0.500 0.500
0.000 0.500 0.000
0.500 0.000 0.000


KCa2MgF8, optimized geometry, DFT PBE; SG = P2/m, No. 10; total moment = 0.093 μB per atom; energy = -0.1852 hartree per atom; formation energy from raw total energies = -3.2332 eV per atom
1.0
4.139 0.000 0.000
0.000 7.865 0.000
-0.549 0.000 5.274
K Ca Mg F
1 2 1 8
Direct
0.000 0.000 0.000
0.500 0.269 0.500
0.500 0.731 0.500
0.000 0.500 0.000
0.047 0.294 0.752
0.047 0.706 0.752
0.427 0.500 0.232
0.476 0.000 0.710
0.524 0.000 0.290
0.573 0.500 0.768
0.953 0.294 0.248
0.953 0.706 0.248


Rb3ScIr, optimized geometry, DFT PBE; SG = Pm-3m, No. 221; DFT formation energy = 1.209 eV per atom; total moment = 0.324 μB per atom; energy = -0.0886 hartree per atom
1.0
6.382 0.000 0.000
0.000 6.382 0.000
0.000 0.000 6.382
Rb Sc Ir
3 1 1
Direct
0.000 0.000 0.500
0.000 0.500 0.000
0.500 0.000 0.000
0.500 0.500 0.500
0.000 0.000 0.000


Ag4SeBrCl, optimized geometry, DFT PBE; SG = P2_1/m, No. 11; total moment = 0.000 μB per atom; energy = -0.1046 hartree per atom; formation energy from raw total energies = -0.2169 eV per atom
1.0
6.374 0.000 0.000
0.000 5.946 0.000
-2.747 0.000 8.930
Ag Se Br Cl
8 2 2 2
Direct
0.133 0.002 0.172
0.133 0.498 0.172
0.180 0.250 0.670
0.288 0.750 0.948
0.712 0.250 0.052
0.820 0.750 0.330
0.867 0.502 0.828
0.867 0.998 0.828
0.276 0.250 0.973
0.724 0.750 0.027
0.065 0.750 0.631
0.935 0.250 0.369
0.419 0.750 0.357
0.581 0.250 0.643


TlCd2Ge, optimized geometry, DFT PBE; SG = R3m, No. 160; DFT formation energy = 0.141 eV per atom; total moment = 0.000 μB per atom; energy = -0.0758 hartree per atom
1.0
4.480 0.000 0.000
-2.240 3.879 0.000
0.000 0.000 18.422
Tl Cd Ge
3 6 3
Direct
0.000 0.000 0.000
0.333 0.667 0.667
0.667 0.333 0.333
0.000 0.000 0.568
0.000 0.000 0.776
0.333 0.667 0.235
0.333 0.667 0.443
0.667 0.333 0.110
0.667 0.333 0.902
0.000 0.000 0.173
0.333 0.667 0.840
0.667 0.333 0.506


Li2TiInAs, optimized geometry, DFT PBE; SG = P4/mmm, No. 123; DFT formation energy = 0.901 eV per atom; total moment = 0.555 μB per atom; energy = -0.1074 hartree per atom
1.0
4.958 0.000 0.000
0.000 4.958 0.000
0.000 0.000 5.304
Li Ti In As
2 1 1 1
Direct
0.000 0.500 0.000
0.500 0.000 0.000
0.000 0.000 0.000
0.000 0.000 0.500
0.500 0.500 0.500


Sb2TeRu, optimized geometry, DFT PBE; SG = P2/m, No. 10; total moment = 0.000 μB per atom; energy = -0.1699 hartree per atom; formation energy from raw total energies = 0.5423 eV per atom
1.0
4.987 0.000 0.000
0.000 3.545 0.000
-0.793 0.000 5.106
Sb Te Ru
2 1 1
Direct
0.000 0.000 0.000
0.500 0.500 0.000
0.000 0.500 0.500
0.500 0.000 0.500


Sr2TbCd6, optimized geometry, DFT PBE; SG = P6/mmm, No. 191; DFT formation energy = -0.301 eV per atom; total moment = 0.000 μB per atom; energy = -0.0661 hartree per atom
1.0
8.852 0.000 0.000
-4.426 7.666 0.000
0.000 0.000 3.647
Sr Tb Cd
2 1 6
Direct
0.333 0.667 0.000
0.667 0.333 0.000
0.000 0.000 0.000
0.000 0.329 0.500
0.000 0.671 0.500
0.329 0.000 0.500
0.329 0.329 0.500
0.671 0.000 0.500
0.671 0.671 0.500